Compound: Ce2Pd5Au2
Source: Alexandria
Functional: PBE-GGA
Structure: optimized geometry

## Properties
Density of states at the Fermi level, states/eV/cell: 13.2
Space group: C2/m (12)
Size of the total moment, μB per formula unit: 1.47
ΔE_f, eV/atom: -0.422

Lattice parameters (Å, degrees): 5.955 5.955 7.481 114.35 114.35 50.64
Sites, in units of the cell vectors:
Ce 0.156 0.156 0.322
Ce 0.844 0.844 0.678
Pd 0.120 0.120 0.685
Pd 0.404 0.404 0.786
Pd 0.500 0.500 0.500
Pd 0.596 0.596 0.214
Pd 0.880 0.880 0.315
Au 0.318 0.318 0.085
Au 0.682 0.682 0.915